1.
DFT (PBE) results for crystalline LiBi2AuO6 at its relaxed geometry.

Cell lengths 5.512, 5.512, 4.493 Å; angles 90.00, 90.00, 90.00 degrees
Space group P4mm (No. 99)
Asymmetric unit:
Li1 0.000 0.000 0.000 x1
Bi1 0.000 0.500 0.440 x2
Au1 0.500 0.500 0.079 x1
O1 0.000 0.000 0.571 x1
O2 0.246 0.246 0.142 x4
O3 0.500 0.500 0.593 x1

Uncorrected formation energy = -695 meV/atom



2.
DFT (PBE) results for crystalline Tb2ZnSi at its relaxed geometry.

Cell lengths 4.896, 4.896, 3.695 Å; angles 90.00, 90.00, 90.00 degrees
Space group P4/mmm (No. 123)
Asymmetric unit:
Tb1 0.000 0.500 0.000 x2
Zn1 0.000 0.000 0.500 x1
Si1 0.500 0.500 0.500 x1

Uncorrected formation energy = -470 meV/atom



3.
DFT (PBE) results for crystalline KTl3P at its relaxed geometry.

Cell lengths 5.654, 5.654, 5.654 Å; angles 90.00, 90.00, 90.00 degrees
Space group Pm-3m (No. 221)
Asymmetric unit:
K1 0.000 0.000 0.000 x1
Tl1 0.000 0.500 0.500 x3
P1 0.500 0.500 0.500 x1

Offset from the most stable computed form = 0.000 eV per atom
Energy of formation = 204 meV per atom



4.
DFT (PBE) results for crystalline NaAgB2C at its relaxed geometry.

Cell lengths 3.604, 3.604, 4.706 Å; angles 90.00, 90.00, 90.00 degrees
Space group P4/mmm (No. 123)
Asymmetric unit:
Na1 0.000 0.000 0.000 x1
Ag1 0.500 0.500 0.000 x1
B1 0.000 0.500 0.500 x2
C1 0.500 0.500 0.500 x1

Energy of formation = 1597 meV per atom



5.
DFT (PBE) results for crystalline K2BRu at its relaxed geometry.

Cell lengths 11.977, 11.977, 4.046 Å; angles 90.00, 90.00, 90.00 degrees
Space group I-42d (No. 122)
Asymmetric unit:
K1 0.034 0.750 0.125 x8
B1 0.000 0.000 0.000 x4
Ru1 0.000 0.000 0.500 x4

Energy of formation = 810 meV per atom



6.
DFT (PBE) results for crystalline NaMgN2Cl at its relaxed geometry.

Cell lengths 4.235, 4.235, 5.255 Å; angles 90.00, 90.00, 90.00 degrees
Space group P4/mmm (No. 123)
Asymmetric unit:
Na1 0.000 0.000 0.000 x1
Mg1 0.500 0.500 0.500 x1
N1 0.000 0.500 0.500 x2
Cl1 0.500 0.500 0.000 x1

Uncorrected formation energy = 416 meV/atom



7.
DFT (PBE) results for crystalline CaNiW2 at its relaxed geometry.

Cell lengths 3.142, 5.067, 8.977 Å; angles 90.00, 90.00, 90.00 degrees
Space group Imm2 (No. 44)
Asymmetric unit:
Ca1 0.000 0.000 0.000 x2
Ni1 0.000 0.500 0.764 x2
W1 0.000 0.000 0.486 x2
W2 0.000 0.500 0.208 x2

Offset from the most stable computed form = 0.308 eV per atom
Energy of formation = 745 meV per atom



8.
DFT (PBE) results for crystalline CsGaTeN2 at its relaxed geometry.

Cell lengths 4.474, 4.474, 7.273 Å; angles 90.00, 90.00, 90.00 degrees
Space group P4/mmm (No. 123)
Asymmetric unit:
Cs1 0.000 0.000 0.000 x1
Ga1 0.000 0.000 0.500 x1
Te1 0.500 0.500 0.000 x1
N1 0.000 0.500 0.500 x2

Offset from the most stable computed form = 0.000 eV per atom
Uncorrected formation energy = 1584 meV/atom



no.,N(E_F) (states/eV/cell),total magnetization (μB per formula unit)
1,4.9,0.42
2,1.6,0.00
3,5.6,0.00
4,1.8,0.00
5,7.2,1.02
6,0.3,4.00
7,4.5,0.00
8,4.3,3.38